# 1
Material: TaBeVBr2
Method: DFT, GGA-PBE
State: relaxed

Unit cell a=4.7830 b=4.7830 c=5.0277 alpha=90.00 beta=90.00 gamma=90.00
Fractional positions:
Ta 0.0000 0.0000 0.0000
Be 0.5000 0.5000 0.0000
V 0.0000 0.0000 0.5000
Br 0.0000 0.5000 0.5000
Br 0.5000 0.0000 0.5000

Values from the calculation:
Volume ... 115.02 Å³ per cell
Uncorrected formation energy ... 1.2179 eV/atom
Mass density ... 5.8 g/cm3
Space group ... P4/mmm, No. 123


# 2
Material: Mg5GaPb
Method: DFT, GGA-PBE
State: relaxed

Unit cell a=5.8690 b=5.8690 c=10.1039 alpha=103.44 beta=103.44 gamma=93.36
Fractional positions:
Mg 0.0138 0.3942 0.8349
Mg 0.1743 0.8257 0.7500
Mg 0.2424 0.5260 0.4650
Mg 0.3942 0.0138 0.3349
Mg 0.4740 0.7576 0.0350
Mg 0.5260 0.2424 0.9650
Mg 0.6058 0.9862 0.6651
Mg 0.7576 0.4740 0.5350
Mg 0.8257 0.1743 0.2500
Mg 0.9862 0.6058 0.1651
Ga 0.4922 0.5078 0.2500
Ga 0.5078 0.4922 0.7500
Pb 0.0000 0.0000 0.0000
Pb 0.0000 0.0000 0.5000

Values from the calculation:
Volume ... 326.89 Å³ per cell
Formation energy ... -11.5 meV/atom
Mass density ... 4.0 g/cm3
Space group ... C2/c, No. 15


# 3
Material: CuHgW
Method: DFT, GGA-PBE
State: relaxed

Unit cell a=6.5542 b=6.5542 c=6.5542 alpha=155.35 beta=155.35 gamma=35.13
Fractional positions:
Cu 0.0000 0.0000 0.0000
Hg 0.6676 0.6676 0.0000
W 0.3530 0.3530 0.0000

Values from the calculation:
Volume ... 48.90 Å³ per cell
Formation energy ... 535.6 meV/atom
Mass density ... 15.2 g/cm3
Distance to the lowest polymorph of the same formula ... 0 meV/atom
Space group ... I4mm, No. 107


- Look up the volume of the first one.
  115.02 Å³ per cell